Below is an optimized crystal structure of Ho3Ga2Rh2, with properties calculated at the PBE-GGA level.

Computed properties:
- Calculated formation energy: -842 meV per atom
- Total magnetic moment: 0.00 Bohr magnetons per cell

Structure (POSCAR):
```
Ho3Ga2Rh2
1.0
-2.757 -2.820 -3.862
6.376 -4.162 -1.512
-3.759 -9.163 9.373
Ho Ga Rh
12 8 8
Direct
0.372 0.267 0.750 Ho
0.153 0.598 0.098 Ho
0.153 0.902 0.902 Ho
0.628 0.733 0.250 Ho
0.372 0.233 0.250 Ho
0.153 0.902 0.598 Ho
0.153 0.598 0.402 Ho
0.628 0.767 0.750 Ho
0.847 0.098 0.098 Ho
0.847 0.098 0.402 Ho
0.847 0.402 0.902 Ho
0.847 0.402 0.598 Ho
0.122 0.887 0.250 Ga
0.647 0.750 0.500 Ga
0.878 0.113 0.750 Ga
0.878 0.387 0.250 Ga
0.122 0.613 0.750 Ga
0.353 0.250 0.000 Ga
0.647 0.750 0.000 Ga
0.353 0.250 0.500 Ga
0.644 0.462 0.093 Rh
0.644 0.038 0.593 Rh
0.356 0.538 0.593 Rh
0.644 0.462 0.407 Rh
0.644 0.038 0.907 Rh
0.356 0.962 0.407 Rh
0.356 0.962 0.093 Rh
0.356 0.538 0.907 Rh
```

---

Below is an optimized crystal structure of Ho4Ga6Rh7, with properties calculated at the PBE-GGA level.

Computed properties:
- Calculated formation energy: -843 meV per atom
- Total magnetic moment: 0.00 Bohr magnetons per cell

Structure (POSCAR):
```
Ho4Ga6Rh7
1.0
1.424 6.580 -2.756
-0.140 -4.901 -5.374
-6.459 0.117 3.344
Ga Rh Ho
6 7 4
Direct
0.000 0.683 0.683 Ga
0.683 0.683 0.000 Ga
0.683 0.000 0.683 Ga
0.317 0.000 0.317 Ga
0.317 0.317 0.000 Ga
0.000 0.317 0.317 Ga
0.500 0.750 0.250 Rh
0.250 0.750 0.500 Rh
0.250 0.500 0.750 Rh
0.750 0.500 0.250 Rh
0.000 0.000 0.000 Rh
0.750 0.250 0.500 Rh
0.500 0.250 0.750 Rh
0.500 0.500 0.500 Ho
0.000 0.000 0.500 Ho
0.500 0.000 0.000 Ho
0.000 0.500 0.000 Ho
```

---

Below is an optimized crystal structure of HoGa8Rh2, with properties calculated at the PBE-GGA level.

Computed properties:
- Calculated formation energy: -385 meV per atom
- Total magnetic moment: 0.00 Bohr magnetons per cell

Structure (POSCAR):
```
HoGa8Rh2
1.0
4.802 -0.023 -0.035
-0.826 6.591 0.595
-0.826 -1.989 6.312
Rh Ga Ho
2 8 1
Direct
0.000 0.714 0.286 Rh
0.000 0.286 0.714 Rh
0.500 0.707 0.293 Ga
0.275 0.627 0.627 Ga
0.112 0.099 0.350 Ga
0.500 0.293 0.707 Ga
0.888 0.901 0.650 Ga
0.725 0.373 0.373 Ga
0.112 0.350 0.099 Ga
0.888 0.650 0.901 Ga
0.500 0.000 0.000 Ho
```

---

Which formula does entry 1 have?
Ho3Ga2Rh2